# MoNO2

Crystalline MoNO2 at its relaxed geometry (PBE+U, Alexandria via LeMat-Bulk).

## Properties
* final energy: -5.8588 eV per atom
* mass density: 6.0 g cm⁻³
* space-group type: No. 122
* spin magnetization: 0.9 μB per formula unit

Unit cell a=3.400 b=3.400 c=7.185 alpha=76.31 beta=76.31 gamma=90.00
Each line ends with the local moment (μB).
Fractional coordinates of all 8 atoms:
Mo 0.000 0.000 0.000  1.16
Mo 0.750 0.250 0.500  1.15
O 0.657 0.125 0.250  -0.13
O 0.093 0.625 0.250  -0.13
O 0.375 0.343 0.750  -0.16
O 0.875 0.907 0.750  -0.16
N 0.500 0.500 0.000  0.02
N 0.250 0.750 0.500  0.03